(1)
This record from the Alexandria database describes a geometry-optimized Ca2ZrF structure. The functional is PBE.

a = 5.4797 Å, b = 5.4797 Å, c = 5.4797 Å
α = 60.00°, β = 60.00°, γ = 60.00°
With the nearest neighbours (Å) after each atom.
Fractional coordinates of all 4 atoms:
1 Ca 0.2500 0.2500 0.2500  4 Zr 3.36, 4 F 3.36
2 Ca 0.7500 0.7500 0.7500  4 F 3.36, 4 Zr 3.36
3 Zr 0.0000 0.0000 0.0000  8 Ca 3.36
4 F 0.5000 0.5000 0.5000  8 Ca 3.36

Results
**Raw formation energy**: 0.02 eV/atom
**E above lowest polymorph**: 883 meV/atom

***

(2)
This record from the Alexandria database describes a geometry-optimized SrCa2NiHg structure. The functional is PBE.

a = 5.3273 Å, b = 5.3273 Å, c = 5.6518 Å
α = 90.00°, β = 90.00°, γ = 90.00°
With the nearest neighbours (Å) after each atom.
Fractional coordinates of all 5 atoms:
1 Sr 0.0000 0.0000 0.0000  2 Ni 2.83
2 Ca 0.0000 0.5000 0.5000  2 Ni 2.66
3 Ca 0.5000 0.0000 0.5000  2 Ni 2.66
4 Ni 0.0000 0.0000 0.5000  4 Ca 2.66, 2 Sr 2.83
5 Hg 0.5000 0.5000 0.0000  4 Sr 3.77, 8 Ca 3.88

Results
**E above lowest polymorph**: 0 meV/atom

***

(3)
This record from the Alexandria database describes a geometry-optimized TaCu3Se2F6 structure. The functional is PBE.

a = 7.7085 Å, b = 7.7085 Å, c = 4.9363 Å
α = 105.34°, β = 105.34°, γ = 57.33°
With the nearest neighbours (Å) after each atom.
Fractional coordinates of all 12 atoms:
1 Ta 0.0000 0.0000 0.0000  6 F 1.93
2 Cu 0.0000 0.5000 0.0000  2 Se 2.25
3 Cu 0.5000 0.0000 0.0000  2 Se 2.25
4 Cu 0.5000 0.5000 0.5000  2 Se 2.25
5 Se 0.3400 0.3400 0.1887  3 Cu 2.25
6 Se 0.6600 0.6600 0.8113  3 Cu 2.25
7 F 0.0957 0.0957 0.7786  1 Ta 1.93
8 F 0.1039 0.7315 0.7625  1 Ta 1.93
9 F 0.2685 0.8961 0.2375  1 Ta 1.93
10 F 0.7315 0.1039 0.7625  1 Ta 1.93
11 F 0.8961 0.2685 0.2375  1 Ta 1.93
12 F 0.9043 0.9043 0.2214  1 Ta 1.93

Results
**Raw formation energy**: -1.73 eV/atom

***

(4)
This record from the Alexandria database describes a geometry-optimized SrSn2Te2 structure. The functional is PBE.

a = 6.4089 Å, b = 6.4089 Å, c = 6.4089 Å
α = 122.91°, β = 122.91°, γ = 85.03°
With the nearest neighbours (Å) after each atom.
Fractional coordinates of all 5 atoms:
1 Sr 0.0000 0.0000 0.0000  2 Sn 3.24
2 Sn 0.3427 0.3427 0.0000  1 Sn 2.97, 4 Te 3.19, 1 Sr 3.24
3 Sn 0.6573 0.6573 0.0000  1 Sn 2.97, 4 Te 3.19, 1 Sr 3.24
4 Te 0.2500 0.7500 0.5000  4 Sn 3.19
5 Te 0.7500 0.2500 0.5000  4 Sn 3.19

Results
**Raw formation energy**: -0.51 eV/atom
**E above lowest polymorph**: 47 meV/atom

***

(5)
This record from the Alexandria database describes a geometry-optimized Li8Cd2Ag structure. The functional is PBE.

a = 5.6198 Å, b = 5.6198 Å, c = 7.4364 Å
α = 96.79°, β = 96.79°, γ = 61.61°
With the nearest neighbours (Å) after each atom.
Fractional coordinates of all 11 atoms:
1 Li 0.1603 0.1603 0.6073  7 Li 2.72-2.97, 3 Cd 2.88-2.91
2 Li 0.1597 0.6612 0.7018  1 Ag 2.69, 6 Li 2.72-2.99, 2 Cd 2.78-2.87
3 Li 0.1809 0.1809 0.9818  3 Li 2.76-2.99, 1 Cd 2.92, 1 Ag 3.06
4 Li 0.3388 0.8403 0.2982  1 Ag 2.69, 6 Li 2.72-2.99, 2 Cd 2.78-2.87
5 Li 0.6612 0.1597 0.7018  1 Ag 2.69, 6 Li 2.72-2.99, 2 Cd 2.78-2.87
6 Li 0.8191 0.8191 0.0182  3 Li 2.76-2.99, 1 Cd 2.92, 1 Ag 3.06
7 Li 0.8403 0.3388 0.2982  1 Ag 2.69, 6 Li 2.72-2.99, 2 Cd 2.78-2.87
8 Li 0.8397 0.8397 0.3927  7 Li 2.72-2.97, 3 Cd 2.88-2.91
9 Cd 0.3497 0.3497 0.3396  10 Li 2.78-3.04, 1 Ag 3.08
10 Cd 0.6503 0.6503 0.6604  10 Li 2.78-3.04, 1 Ag 3.08
11 Ag 0.5000 0.5000 0.0000  4 Li 2.69

Results
**E above lowest polymorph**: 55 meV/atom

***

(6)
This record from the Alexandria database describes a geometry-optimized CaReCl3 structure. The functional is PBE.

a = 5.3532 Å, b = 5.3532 Å, c = 5.3532 Å
α = 90.00°, β = 90.00°, γ = 90.00°
With the nearest neighbours (Å) after each atom.
Fractional coordinates of all 5 atoms:
1 Ca 0.0000 0.0000 0.0000  6 Cl 2.68
2 Re 0.5000 0.5000 0.5000  12 Cl 3.79
3 Cl 0.0000 0.0000 0.5000  2 Ca 2.68
4 Cl 0.0000 0.5000 0.0000  2 Ca 2.68
5 Cl 0.5000 0.0000 0.0000  2 Ca 2.68

Results
**Raw formation energy**: -0.28 eV/atom
**E above lowest polymorph**: 0 meV/atom

***

- What is the formula in the third record?
  TaCu3Se2F6